(1)
# TlCd2Fe

Crystalline TlCd2Fe at its relaxed geometry (GGA-PBE, the Alexandria database).

abc: 3.1607 3.1607 29.1427
angles: 90.00 90.00 120.00
Closest atoms and distances in Å follow each position.
Sites, in units of the cell vectors:
Tl (0.0000, 0.0000, 0.0000)  3 Fe 2.89, 6 Tl 3.16
Tl (0.3333, 0.6667, 0.6667)  3 Fe 2.89, 6 Tl 3.16
Tl (0.6667, 0.3333, 0.3333)  3 Fe 2.89, 6 Tl 3.16
Cd (0.0000, 0.0000, 0.5170)  3 Fe 2.80
Cd (0.0000, 0.0000, 0.7595)  9 Cd 3.16-3.22, 3 Tl 3.26
Cd (0.3333, 0.6667, 0.1837)  3 Fe 2.80
Cd (0.3333, 0.6667, 0.4261)  9 Cd 3.16-3.22, 3 Tl 3.26
Cd (0.6667, 0.3333, 0.0928)  9 Cd 3.16-3.22, 3 Tl 3.26
Cd (0.6667, 0.3333, 0.8504)  3 Fe 2.80
Fe (0.0000, 0.0000, 0.2565)  3 Cd 2.80, 3 Tl 2.89
Fe (0.3333, 0.6667, 0.9232)  3 Cd 2.80, 3 Tl 2.89
Fe (0.6667, 0.3333, 0.5898)  3 Cd 2.80, 3 Tl 2.89

**Fermi-level density of states**: 7.51 states/eV per cell
**DFT formation energy**: 0.375 eV/atom
**SG**: No. 160
**Uncorrected energy**: -2.79 eV/atom
**Energy relative to the lowest polymorph listed for this composition**: 0.0975 eV per atom

***

(2)
# Tl2CdFe

Crystalline Tl2CdFe at its relaxed geometry (GGA-PBE, the Alexandria database).

abc: 3.3057 3.3057 29.3529
angles: 90.00 90.00 120.00
Closest atoms and distances in Å follow each position.
Sites, in units of the cell vectors:
Tl (0.0000, 0.0000, 0.0000)  9 Tl 3.31-3.47, 3 Cd 3.31
Tl (0.0000, 0.0000, 0.2344)  3 Fe 2.88
Tl (0.3333, 0.6667, 0.6667)  9 Tl 3.31-3.47, 3 Cd 3.31
Tl (0.3333, 0.6667, 0.9011)  3 Fe 2.88
Tl (0.6667, 0.3333, 0.3333)  9 Tl 3.31-3.47, 3 Cd 3.31
Tl (0.6667, 0.3333, 0.5678)  3 Fe 2.88
Cd (0.0000, 0.0000, 0.7588)  3 Fe 2.78
Cd (0.3333, 0.6667, 0.4254)  3 Fe 2.78
Cd (0.6667, 0.3333, 0.0921)  3 Fe 2.78
Fe (0.0000, 0.0000, 0.4944)  3 Cd 2.78, 3 Tl 2.88
Fe (0.3333, 0.6667, 0.1610)  3 Cd 2.78, 3 Tl 2.88
Fe (0.6667, 0.3333, 0.8277)  3 Cd 2.78, 3 Tl 2.88

**Fermi-level density of states**: 8.42 states/eV per cell
**DFT formation energy**: 0.412 eV/atom
**SG**: No. 160
**Uncorrected energy**: -3.12 eV/atom
**Energy relative to the lowest polymorph listed for this composition**: 0.0500 eV per atom

***

(3)
# TlCd2Fe

Crystalline TlCd2Fe at its relaxed geometry (GGA-PBE, the Alexandria database).

abc: 6.9963 6.9963 6.9963
angles: 90.00 90.00 90.00
Closest atoms and distances in Å follow each position.
Sites, in units of the cell vectors:
Tl (0.0000, 0.0000, 0.0000)  8 Cd 3.03
Tl (0.0000, 0.5000, 0.5000)  8 Cd 3.03
Tl (0.5000, 0.0000, 0.5000)  8 Cd 3.03
Tl (0.5000, 0.5000, 0.0000)  8 Cd 3.03
Cd (0.2500, 0.2500, 0.2500)  4 Tl 3.03, 4 Fe 3.03
Cd (0.2500, 0.2500, 0.7500)  4 Tl 3.03, 4 Fe 3.03
Cd (0.2500, 0.7500, 0.2500)  4 Tl 3.03, 4 Fe 3.03
Cd (0.2500, 0.7500, 0.7500)  4 Fe 3.03, 4 Tl 3.03
Cd (0.7500, 0.2500, 0.2500)  4 Tl 3.03, 4 Fe 3.03
Cd (0.7500, 0.2500, 0.7500)  4 Fe 3.03, 4 Tl 3.03
Cd (0.7500, 0.7500, 0.2500)  4 Fe 3.03, 4 Tl 3.03
Cd (0.7500, 0.7500, 0.7500)  4 Tl 3.03, 4 Fe 3.03
Fe (0.0000, 0.0000, 0.5000)  8 Cd 3.03
Fe (0.0000, 0.5000, 0.0000)  8 Cd 3.03
Fe (0.5000, 0.0000, 0.0000)  8 Cd 3.03
Fe (0.5000, 0.5000, 0.5000)  8 Cd 3.03

**Fermi-level density of states**: 20.02 states/eV per cell
**DFT formation energy**: 0.529 eV/atom
**SG**: No. 225
**Uncorrected energy**: -2.64 eV/atom
**Energy relative to the lowest polymorph listed for this composition**: 0.2512 eV per atom

***

(4)
# Tl2CdFe

Crystalline Tl2CdFe at its relaxed geometry (GGA-PBE, the Alexandria database).

abc: 3.4161 4.4647 6.1482
angles: 90.00 98.06 90.00
Closest atoms and distances in Å follow each position.
Sites, in units of the cell vectors:
Tl (0.1334, 0.0000, 0.2690)  2 Fe 2.84, 1 Tl 3.10, 2 Cd 3.14
Tl (0.8666, 0.0000, 0.7310)  2 Fe 2.84, 1 Tl 3.10, 2 Cd 3.14
Cd (0.5000, 0.5000, 0.0000)  2 Fe 3.07, 8 Tl 3.14-3.38, 2 Cd 3.42
Fe (0.5000, 0.5000, 0.5000)  4 Tl 2.84, 2 Cd 3.07

**Fermi-level density of states**: 2.54 states/eV per cell
**DFT formation energy**: 0.492 eV/atom
**SG**: No. 10
**Uncorrected energy**: -3.04 eV/atom
**Energy relative to the lowest polymorph listed for this composition**: 0.1298 eV per atom

***

(5)
# TlCdFe

Crystalline TlCdFe at its relaxed geometry (GGA-PBE, the Alexandria database).

abc: 3.1450 3.1450 7.1688
angles: 90.00 90.00 120.00
Closest atoms and distances in Å follow each position.
Sites, in units of the cell vectors:
Tl (0.0000, 0.0000, 0.0000)  3 Fe 2.90, 6 Tl 3.14
Cd (0.3333, 0.6667, 0.3855)  3 Fe 2.81, 6 Cd 3.14
Fe (0.6667, 0.3333, 0.6844)  3 Cd 2.81, 3 Tl 2.90, 6 Fe 3.14

**Fermi-level density of states**: 3.04 states/eV per cell
**DFT formation energy**: 0.509 eV/atom
**SG**: No. 156
**Uncorrected energy**: -3.41 eV/atom
**Energy relative to the lowest polymorph listed for this composition**: 0.0424 eV per atom

***

(6)
# TlCd2Fe

Crystalline TlCd2Fe at its relaxed geometry (GGA-PBE, the Alexandria database).

abc: 4.1524 4.1524 9.4999
angles: 90.00 90.00 90.00
Closest atoms and distances in Å follow each position.
Sites, in units of the cell vectors:
Tl (0.0000, 0.0000, 0.0000)  4 Fe 2.94, 8 Cd 3.15
Tl (0.5000, 0.5000, 0.5000)  4 Fe 2.94, 8 Cd 3.15
Cd (0.0000, 0.5000, 0.2500)  4 Cd 2.94, 4 Tl 3.15, 4 Fe 3.15
Cd (0.0000, 0.5000, 0.7500)  4 Cd 2.94, 4 Tl 3.15, 4 Fe 3.15
Cd (0.5000, 0.0000, 0.2500)  4 Cd 2.94, 4 Tl 3.15, 4 Fe 3.15
Cd (0.5000, 0.0000, 0.7500)  4 Cd 2.94, 4 Tl 3.15, 4 Fe 3.15
Fe (0.0000, 0.0000, 0.5000)  4 Tl 2.94, 8 Cd 3.15
Fe (0.5000, 0.5000, 0.0000)  4 Tl 2.94, 8 Cd 3.15

**Fermi-level density of states**: 9.00 states/eV per cell
**DFT formation energy**: 0.422 eV/atom
**SG**: No. 139
**Uncorrected energy**: -2.74 eV/atom
**Energy relative to the lowest polymorph listed for this composition**: 0.1444 eV per atom

***

Question: Fermi-level density of states of number 3 (TlCd2Fe)?
Answer: 20.02 states/eV per cell

***

Question: Number 1 is which compound?
Answer: TlCd2Fe

***

Question: What is the formula in the second record?
Answer: Tl2CdFe

***

Question: What is the uncorrected energy in the second record?
Answer: -3.12 eV/atom